VASP calculation (PBE) on a relaxed DyZn9Pd2 crystal.

energy above the most stable polymorph in this dataset	0.069	eV per atom

Unit cell a=8.7104 b=8.7104 c=2.9896 alpha=90.00 beta=90.00 gamma=120.00
Closest atoms and distances in Å follow each position.
Positions (direct):
Dy 0.0000 0.0000 0.0000  2 Dy 2.99, 12 Zn 3.14
Zn 0.0000 0.5000 0.0000  2 Pd 2.51
Zn 0.1829 0.3659 0.5000  2 Pd 2.72, 8 Zn 2.76-2.99
Zn 0.1829 0.8171 0.5000  2 Pd 2.72, 8 Zn 2.76-2.99
Zn 0.3659 0.1829 0.5000  2 Pd 2.72, 8 Zn 2.76-2.99
Zn 0.5000 0.0000 0.0000  2 Pd 2.51
Zn 0.5000 0.5000 0.0000  2 Pd 2.51
Zn 0.6341 0.8171 0.5000  2 Pd 2.72, 8 Zn 2.76-2.99
Zn 0.8171 0.1829 0.5000  2 Pd 2.72, 8 Zn 2.76-2.99
Zn 0.8171 0.6341 0.5000  2 Pd 2.72, 8 Zn 2.76-2.99
Pd 0.3333 0.6667 0.0000  9 Zn 2.51-2.72
Pd 0.6667 0.3333 0.0000  9 Zn 2.51-2.72


VASP calculation (PBE) on a relaxed DyZn2Pd crystal.

Unit cell a=4.0145 b=4.0145 c=4.6735 alpha=90.00 beta=90.00 gamma=90.00
Closest atoms and distances in Å follow each position.
Positions (direct):
Dy 0.0000 0.0000 0.0000  4 Pd 2.84, 8 Zn 3.08
Zn 0.0000 0.5000 0.5000  4 Zn 2.84, 4 Pd 3.08, 4 Dy 3.08
Zn 0.5000 0.0000 0.5000  4 Zn 2.84, 4 Pd 3.08, 4 Dy 3.08
Pd 0.5000 0.5000 0.0000  4 Dy 2.84, 8 Zn 3.08


VASP calculation (PBE) on a relaxed DyZn5Pd7 crystal.

Unit cell a=6.7817 b=6.7817 c=6.7817 alpha=134.44 beta=98.47 gamma=98.77
Closest atoms and distances in Å follow each position.
Positions (direct):
Dy 0.0000 0.0000 0.0000  10 Pd 2.97-3.25, 4 Zn 3.32
Zn 0.4871 0.4916 0.5010  7 Pd 2.56-2.72, 3 Zn 2.60-2.65
Zn 0.4871 0.9861 0.9955  7 Pd 2.56-2.72, 3 Zn 2.60-2.65
Zn 0.7604 0.2604 0.5000  4 Zn 2.60, 6 Pd 2.67-2.80
Zn 0.9905 0.4916 0.0045  7 Pd 2.56-2.72, 3 Zn 2.60-2.65
Zn 0.9905 0.9861 0.4990  7 Pd 2.56-2.72, 3 Zn 2.60-2.65
Pd 0.1873 0.4830 0.7043  5 Zn 2.57-2.67, 1 Pd 2.74
Pd 0.2160 0.7160 0.5000  4 Zn 2.56, 6 Pd 2.74-2.83
Pd 0.3350 0.9939 0.3411  5 Zn 2.67-2.74, 4 Pd 2.81-2.89
Pd 0.3368 0.3368 0.0000  4 Zn 2.71, 5 Pd 2.78-2.92, 1 Dy 2.97
Pd 0.6515 0.6515 0.0000  6 Zn 2.69-2.80, 3 Pd 2.78-3.01
Pd 0.6527 0.9939 0.6589  5 Zn 2.67-2.74, 4 Pd 2.81-2.89
Pd 0.7787 0.4830 0.2957  5 Zn 2.57-2.67, 1 Pd 2.74


Number 1: DOS(E_F) 4.65 states/eV/cell, calculated formation energy -278 meV per atom, spin magnetization 0.00 μB/cell. Number 2: DOS(E_F) 2.86 states/eV/cell, calculated formation energy -405 meV per atom, spin magnetization 0.00 μB/cell. Number 3: DOS(E_F) 4.50 states/eV/cell, calculated formation energy -554 meV per atom, spin magnetization 0.00 μB/cell.